# 1
12
Lattice="-3.8469 2.9493 -1.4135 -4.4411 -3.8601 4.0321 -0.5555 6.0484 5.1785" Properties=species:S:1:pos:R:3 comment="Dy5YGa6 (PBE, optimized geometry)" density_g_cm3=8.03 spacegroup="P2/m (10)" dft_energy_ev_per_atom=-4.56 total_magnetization_mub_per_atom=0.000 pbc="T T T"
Y 0.0000 0.0000 0.0000
Ga -6.7202 1.5810 3.5729
Ga -4.5016 3.5089 1.5589
Ga -3.0350 0.5089 0.3021
Ga -5.2529 -1.4197 2.3165
Ga -4.3418 1.6287 6.2382
Ga -2.1232 3.5566 4.2243
Dy -5.1556 4.0685 4.5260
Dy -1.4672 2.9997 1.2557
Dy -2.2205 -1.9301 2.0161
Dy -2.9352 5.9980 2.5093
Dy -3.6879 1.0691 3.2711

# 2
4
Lattice="-0.2265 0.1896 -3.6187 3.0160 -0.1313 -2.0171 0.1662 -10.1065 -2.3614" Properties=species:S:1:pos:R:3 comment="DyY2Ga (PBE, optimized geometry)" density_g_cm3=5.87 spacegroup="R3m (160)" dft_energy_ev_per_atom=-5.35 total_magnetization_mub_per_atom=0.175 pbc="T T T"
Dy 1.4786 -5.0136 -3.9981
Y 0.3286 -7.9538 -2.2587
Y 0.7675 -2.1334 -1.9812
Ga 1.8589 0.0287 -3.7577

# 3
3
Lattice="3.6713 0.0000 0.0000 0.0000 4.9686 0.0000 0.0000 -2.4843 4.3029" Properties=species:S:1:pos:R:3 comment="DyYGa (PBE, optimized geometry)" density_g_cm3=6.79 spacegroup="P3m1 (156)" dft_energy_ev_per_atom=-4.98 total_magnetization_mub_per_atom=0.000 pbc="T T T"
Y 1.4520 0.0000 2.8686
Ga 2.4693 2.4843 1.4343
Dy 3.4213 0.0000 0.0000

| no. | E_form (eV per atom) |
| --- | --- |
| 1 | -0.587 |
| 2 | -0.209 |
| 3 | -0.281 |